# 1
VASP calculation (meta-GGA SCAN) on a PBEsol-optimized structure of BaMnTcH2.

Total magnetization ... 0.443 μB per atom
Space group ... P4/mmm (123)
Energy ... -96.09 eV/cell

Cell lengths 4.102, 4.102, 4.407 Å; angles 90.00, 90.00, 90.00 degrees
Each line ends with the local moment (μB).
Fractional positions:
Tc1 0.000 0.000 0.500  -0.75
H1 0.000 0.500 0.000  -0.05
H2 0.500 0.000 0.000  -0.05
Mn1 0.000 0.000 0.000  2.93
Ba1 0.500 0.500 0.500  0.01



# 2
VASP calculation (meta-GGA SCAN) on a PBEsol-optimized structure of CaIrRh2.

Total magnetization ... 0.000 μB per atom
Formation enthalpy at 0 K ... 19 meV per atom
Space group ... I4/mmm (139)
Offset from the most stable computed form ... 0.00 eV/f.u.

Cell lengths 4.008, 4.008, 4.792 Å; angles 114.72, 114.72, 90.00 degrees
Fractional positions:
Ir1 0.000 0.000 0.000
Rh1 0.750 0.250 0.500
Ca1 0.500 0.500 0.000
Rh2 0.250 0.750 0.500



# 3
VASP calculation (meta-GGA SCAN) on a PBEsol-optimized structure of CoReAs2.

Total magnetization ... 0.000 μB per atom
Formation enthalpy at 0 K ... 205 meV per atom
Space group ... Cm (8)
Offset from the most stable computed form ... 0.00 eV/f.u.

Cell lengths 3.117, 4.332, 4.497 Å; angles 103.39, 110.28, 90.00 degrees
Fractional positions:
As1 0.006 0.047 0.011
Co1 0.512 0.593 0.025
As2 0.241 0.671 0.483
Re1 0.740 0.189 0.481



# 4
VASP calculation (meta-GGA SCAN) on a PBEsol-optimized structure of Li3HfGa.

Total magnetization ... 0.569 μB per atom
Formation enthalpy at 0 K ... 1361 meV per atom
Space group ... Pm-3m (221)

Cell lengths 5.175, 5.175, 5.175 Å; angles 90.00, 90.00, 90.00 degrees
Each line ends with the local moment (μB).
Fractional positions:
Hf1 0.000 0.000 0.000  1.53
Li1 0.500 0.000 0.000  0.06
Li2 0.000 0.500 0.000  0.06
Li3 0.000 0.000 0.500  0.06
Ga1 0.500 0.500 0.500  0.03



# 5
VASP calculation (meta-GGA SCAN) on a PBEsol-optimized structure of ThRh.

Total magnetization ... 0.000 μB per atom
Formation enthalpy at 0 K ... -1041 meV per atom
Space group ... Cmcm (63)

Cell lengths 3.871, 4.099, 5.969 Å; angles 90.00, 108.92, 90.00 degrees
Fractional positions:
Rh1 0.402 0.750 0.804
Th1 0.136 0.750 0.272
Th2 0.864 0.250 0.728
Rh2 0.598 0.250 0.196



# 6
VASP calculation (meta-GGA SCAN) on a PBEsol-optimized structure of KMoIO6.

Total magnetization ... 0.000 μB per atom
Space group ... P2_1/c (14)
Energy relative to the elements, uncorrected ... -1.5283 eV per atom
Offset from the most stable computed form ... 0.00 eV/f.u.

Cell lengths 7.437, 7.523, 10.517 Å; angles 69.84, 90.00, 90.00 degrees
Fractional positions:
O1 0.047 0.177 0.092
K1 0.734 0.156 0.924
O2 0.453 0.677 0.592
O3 0.424 0.170 0.101
O4 0.216 0.223 0.852
O5 0.741 0.279 0.194
O6 0.470 0.014 0.630
O7 0.970 0.486 0.870
O8 0.530 0.986 0.370
O9 0.576 0.830 0.899
Mo1 0.001 0.771 0.721
I1 0.321 0.858 0.459
O10 0.030 0.514 0.130
Mo2 0.999 0.229 0.279
O11 0.784 0.777 0.148
O12 0.547 0.323 0.408
O13 0.076 0.670 0.601
Mo3 0.499 0.271 0.221
O14 0.057 0.004 0.642
I2 0.679 0.142 0.541
O15 0.259 0.721 0.806
O16 0.759 0.779 0.694
O17 0.924 0.330 0.399
Mo4 0.501 0.729 0.779
K2 0.266 0.844 0.076
K3 0.766 0.656 0.424
O18 0.241 0.221 0.306
O19 0.953 0.823 0.908
O20 0.716 0.277 0.648
O21 0.443 0.504 0.142
I3 0.179 0.358 0.959
O22 0.943 0.996 0.358
K4 0.234 0.344 0.576
I4 0.821 0.642 0.041
O23 0.557 0.496 0.858
O24 0.284 0.723 0.352